First-principles (PBEsol) data for crystalline NdB4Os4 at its relaxed geometry, as listed in the Alexandria database.

Properties
The calculation puts the total energy at -9.517 eV per atom. The volume is 228 Å³/cell. As for the symmetry: No. 86.

a b c (Å): 7.5537 7.5537 3.9908
angles (deg): 90.00 90.00 90.00
With the nearest neighbours (Å) after each atom.
Fractional positions:
Nd 0.2500 0.2500 0.2500  8 B 2.91-3.06, 8 Os 3.19-3.20
Nd 0.7500 0.7500 0.7500  8 B 2.91-3.06, 8 Os 3.19-3.20
B 0.0318 0.5858 0.1391  1 B 1.77
B 0.0858 0.9682 0.6391  1 B 1.77
B 0.4142 0.5318 0.6391  1 B 1.77
B 0.4682 0.9142 0.1391  1 B 1.77
B 0.5318 0.0858 0.8609  1 B 1.77
B 0.5858 0.4682 0.3609  1 B 1.77
B 0.9142 0.0318 0.3609  1 B 1.77
B 0.9682 0.4142 0.8609  1 B 1.77
Os 0.1051 0.8574 0.1375  4 B 2.12-2.17
Os 0.1426 0.6051 0.6375  4 B 2.12-2.17
Os 0.3574 0.8949 0.6375  4 B 2.12-2.17
Os 0.3949 0.6426 0.1375  4 B 2.12-2.17
Os 0.6051 0.3574 0.8625  4 B 2.12-2.17
Os 0.6426 0.1051 0.3625  4 B 2.12-2.17
Os 0.8574 0.3949 0.3625  4 B 2.12-2.17
Os 0.8949 0.1426 0.8625  4 B 2.12-2.17